ZnBiO3 | GGA-PBEsol | optimized geometry

abc: 3.8525 3.8525 3.8525
angles: 90.00 90.00 90.00
Closest atoms and distances in Å follow each position.
Element x y z (fractional)
Zn1 0.0000 0.0000 0.0000  6 O 1.93
Bi1 0.5000 0.5000 0.5000  12 O 2.72
O1 0.0000 0.5000 0.0000  2 Zn 1.93
O2 0.0000 0.0000 0.5000  2 Zn 1.93
O3 0.5000 0.0000 0.0000  2 Zn 1.93

## Properties
**D(E_F)**: 1.2 states/eV/f.u.
**Total energy**: -5.1866 eV/atom
**V**: 57.2 Å³ per cell
**Energy relative to the elements, uncorrected**: -0.864 eV per atom
**Crystal system**: cubic

TlP2Se | GGA-PBEsol | optimized geometry

abc: 3.4639 3.4639 8.1367
angles: 77.71 77.71 60.00
Closest atoms and distances in Å follow each position.
Element x y z (fractional)
P1 0.0267 0.0267 0.9199  3 P 2.33
P2 0.7437 0.7437 0.7689  3 P 2.33, 3 Se 2.56
Se1 0.4776 0.4776 0.5672  3 P 2.56
Tl1 0.2520 0.2520 0.2440  3 Se 3.24, 3 P 3.25, 6 Tl 3.46

## Properties
**D(E_F)**: 1.4 states/eV/f.u.
**Distance to the lowest polymorph of the same formula**: 0.000 eV per atom
**Total energy**: -4.4754 eV/atom
**V**: 82.0 Å³ per cell
**Energy relative to the elements, uncorrected**: 0.040 eV per atom
**Crystal system**: trigonal